(1)
Sr3Os: optimized geometry, PBE.

The structure belongs to space group Pmmn (No. 59, origin choice 2); the cell edges are 4.163, 7.359 and 9.949 Å and the angles 90.00°, 90.00° and 90.00°. The asymmetric unit holds Sr at (0.250, 0.013, 0.177), Sr at (0.250, 0.250, 0.520) and Os at (0.250, 0.750, 0.700).

As for the formation enthalpy at 0 K: 0.5088 eV/atom.

=====

(2)
Sr3Os: optimized geometry, PBE.

The structure belongs to space group Immm (No. 71); the cell edges are 3.653, 5.462 and 15.177 Å and the angles 90.00°, 90.00° and 90.00°. The asymmetric unit holds Sr at (0.000, 0.000, 0.000), Sr at (0.000, 0.500, 0.159) and Os at (0.000, 0.000, 0.500).

As for the formation enthalpy at 0 K: 0.5152 eV/atom.

=====

(3)
Sr3Os: optimized geometry, PBE.

The structure belongs to space group P4/mmm (No. 123); the cell edges are 3.708, 3.708 and 10.589 Å and the angles 90.00°, 90.00° and 90.00°. The asymmetric unit holds Sr at (0.000, 0.000, 0.000), Sr at (0.500, 0.500, 0.335) and Os at (0.000, 0.000, 0.500).

As for the formation enthalpy at 0 K: 0.5425 eV/atom.

=====

(4)
Sr3Os: optimized geometry, PBE.

The structure belongs to space group I4/mmm (No. 139); the cell edges are 5.281, 5.281 and 8.757 Å and the angles 90.00°, 90.00° and 90.00°. The asymmetric unit holds Sr at (0.000, 0.000, 0.000), Sr at (0.000, 0.500, 0.250) and Os at (0.000, 0.000, 0.500).

As for the formation enthalpy at 0 K: 0.6838 eV/atom.

=====

DOS at the Fermi energy list, top to bottom, in states/eV/atom: 0.77, 0.94, 1.36, 0.46
Total energy list, top to bottom, in eV/cell: -28.48, -28.43, -14.11, -27.08